No. 1
DyY3Ho after structural relaxation, computed with PBE.

Values from the calculation:
As for the space group: C2/c, No. 15. The total energy comes out at -27.97 eV per formula unit. Its theoretical density is 6.1 Mg/m³. The density of states at the Fermi level comes out at 30.7 states/eV per cell.

```
20
Lattice="4.543 -7.487 0.000 4.543 7.487 0.000 -1.399 0.000 9.505" Properties=species:S:1:pos:R:3 pbc="T T T"
Dy 3.493 7.132 7.129
Dy 4.193 1.373 2.376
Dy 3.493 -1.373 7.129
Dy 4.193 -7.132 2.376
Y 1.712 4.139 6.499
Y 3.894 4.727 0.532
Y 4.492 4.727 4.220
Y 2.391 1.588 8.379
Y 5.275 4.139 7.758
Y 4.596 1.588 5.879
Y 3.090 -1.588 3.627
Y 2.411 -4.139 1.747
Y 5.296 -1.588 1.126
Y 3.194 -4.727 5.285
Y 3.792 -4.727 8.973
Y 5.974 -4.139 3.006
Ho 1.479 0.765 5.188
Ho 2.178 -0.765 0.435
Ho 5.508 0.765 9.070
Ho 6.207 -0.765 4.318
```

***

No. 2
Dy4Y3Ho4 after structural relaxation, computed with PBE.

Values from the calculation:
As for the space group: Amm2, No. 38. The total energy comes out at -54.49 eV per formula unit. Its theoretical density is 7.4 Mg/m³. The density of states at the Fermi level comes out at 17.6 states/eV per cell.

```
11
Lattice="10.484 0.000 0.000 0.000 2.815 6.002 0.000 -2.815 6.002" Properties=species:S:1:pos:R:3 pbc="T T T"
Dy 0.000 0.000 0.000
Dy 2.175 0.000 5.753
Dy 5.242 0.000 11.135
Dy 8.310 0.000 5.753
Y 2.131 0.000 9.414
Y 5.242 0.000 7.581
Y 8.353 0.000 9.414
Ho 0.000 0.000 3.240
Ho 3.049 0.000 1.584
Ho 5.242 0.000 4.018
Ho 7.435 0.000 1.584
```

***

No. 3
Dy5Y5Ho2 after structural relaxation, computed with PBE.

Values from the calculation:
As for the space group: C2/m, No. 12. The total energy comes out at -64.23 eV per formula unit. Its theoretical density is 6.9 Mg/m³. The density of states at the Fermi level comes out at 16.2 states/eV per cell.

```
12
Lattice="7.530 -2.511 0.000 7.530 2.511 0.000 -5.016 0.000 10.046" Properties=species:S:1:pos:R:3 pbc="T T T"
Dy 0.000 0.000 0.000
Dy -2.522 0.000 7.531
Dy 0.007 0.000 5.022
Dy 10.037 0.000 5.024
Dy 12.566 0.000 2.515
Y 2.502 0.000 2.516
Y 5.031 0.000 0.004
Y 5.022 0.000 5.023
Y 5.013 0.000 10.042
Y 7.542 0.000 7.531
Ho 2.517 0.000 7.526
Ho 7.528 0.000 2.520
```

***

No. 4
Dy2YHo2 after structural relaxation, computed with PBE.

Values from the calculation:
As for the space group: I4/mmm, No. 139. The total energy comes out at -22.18 eV per formula unit. Its theoretical density is 7.5 Mg/m³. The density of states at the Fermi level comes out at 7.1 states/eV per cell.

```
5
Lattice="-2.941 2.941 4.769 2.941 -2.941 4.769 2.941 2.941 -4.769" Properties=species:S:1:pos:R:3 pbc="T T T"
Dy 2.941 0.000 2.384
Dy 0.000 2.941 2.384
Y 0.000 0.000 0.000
Ho 0.000 0.000 3.364
Ho 0.000 0.000 6.173
```

***

No. 5
Dy8YHo2 after structural relaxation, computed with PBE.

Values from the calculation:
As for the space group: C2/m, No. 12. The total energy comes out at -50.76 eV per formula unit. Its theoretical density is 8.1 Mg/m³. The density of states at the Fermi level comes out at 14.6 states/eV per cell.

```
11
Lattice="4.528 -8.246 0.000 4.528 8.246 0.000 -3.504 0.000 4.739" Properties=species:S:1:pos:R:3 pbc="T T T"
Dy -0.444 2.035 3.302
Dy 4.528 4.882 0.000
Dy -0.444 -2.035 3.302
Dy 3.284 0.000 1.005
Dy 2.269 0.000 3.734
Dy 5.997 2.035 1.437
Dy 4.528 -4.882 0.000
Dy 5.997 -2.035 1.437
Y 0.000 0.000 0.000
Ho 2.776 3.124 2.370
Ho 2.776 -3.124 2.370
```

***

No. 6
Dy6Y3Ho2 after structural relaxation, computed with PBE.

Values from the calculation:
As for the space group: R-3m, No. 166. The total energy comes out at -55.93 eV per formula unit. Its theoretical density is 7.5 Mg/m³. The density of states at the Fermi level comes out at 15.8 states/eV per cell.

```
11
Lattice="1.776 1.025 31.809 -1.776 1.025 31.809 0.000 -2.051 31.809" Properties=species:S:1:pos:R:3 pbc="T T T"
Dy 0.000 0.000 8.713
Dy 0.000 0.000 17.349
Dy 0.000 0.000 34.713
Dy 0.000 0.000 60.715
Dy 0.000 0.000 78.080
Dy 0.000 0.000 86.715
Y 0.000 0.000 0.000
Y 0.000 0.000 26.003
Y 0.000 0.000 69.426
Ho 0.000 0.000 43.395
Ho 0.000 0.000 52.034
```

***

No. 7
Dy5YHo7 after structural relaxation, computed with PBE.

Values from the calculation:
As for the space group: Imm2, No. 44. The total energy comes out at -58.23 eV per formula unit. Its theoretical density is 8.1 Mg/m³. The density of states at the Fermi level comes out at 24.5 states/eV per cell.

```
13
Lattice="-3.324 5.541 5.743 3.324 -5.541 5.743 3.324 5.541 -5.743" Properties=species:S:1:pos:R:3 pbc="T T T"
Dy 0.000 0.000 0.000
Dy 1.542 3.017 0.066
Dy 1.782 -2.524 5.808
Dy 1.542 8.066 0.066
Dy 1.782 2.524 5.808
Y 0.000 5.541 2.317
Ho 3.324 0.000 0.129
Ho 3.324 3.683 -2.819
Ho 3.324 0.000 3.621
Ho 0.000 1.858 2.924
Ho 0.000 0.000 5.808
Ho 3.324 3.627 2.915
Ho 0.000 1.915 8.658
```

***

No. 8
Dy2Y3Ho7 after structural relaxation, computed with PBE.

Values from the calculation:
As for the space group: P2/m, No. 10. The total energy comes out at -59.70 eV per formula unit. Its theoretical density is 7.6 Mg/m³. The density of states at the Fermi level comes out at 17.8 states/eV per cell.

```
12
Lattice="6.296 0.000 0.000 0.000 3.508 0.000 -1.858 0.000 17.234" Properties=species:S:1:pos:R:3 pbc="T T T"
Dy 0.056 0.000 2.982
Dy 4.382 0.000 14.252
Y 1.264 1.754 14.515
Y 2.219 0.000 8.617
Y 3.174 1.754 2.719
Ho -0.929 1.754 8.617
Ho 0.167 0.000 11.498
Ho -0.250 0.000 17.210
Ho 1.100 1.754 5.755
Ho 3.339 1.754 11.479
Ho 4.688 0.000 0.024
Ho 4.272 0.000 5.736
```

***

Question: Which formula does entry 6 have?
Answer: Dy6Y3Ho2